Record 1
# TeMoRh, optimized geometry, DFT GGA-PBE
data_TeMoRh
_chemical_formula_sum 'Te4 Mo4 Rh4'
_symmetry_space_group_name_H-M 'F -4 3 m'
_symmetry_Int_Tables_number 216
_symmetry_space_group_name_Hall 'F -4 2 3'
_cell_length_a 6.223
_cell_length_b 6.223
_cell_length_c 6.223
_cell_angle_alpha 90.00
_cell_angle_beta 90.00
_cell_angle_gamma 90.00
loop_
_atom_site_label
_atom_site_fract_x
_atom_site_fract_y
_atom_site_fract_z
Te1 0.000 0.000 0.000
Mo1 0.250 0.250 0.250
Rh1 0.000 0.000 0.500
# - Crystal system: cubic
# - ΔE_f (raw): 0.20 eV per atom
# - Distance to the lowest polymorph of the same formula: 0 meV/atom
# - E: -6.912 eV per atom


Record 2
# Pm4Dy2Ho, optimized geometry, DFT GGA-PBE
data_Pm4Dy2Ho
_chemical_formula_sum 'Pm8 Dy4 Ho2'
_symmetry_space_group_name_H-M 'C m m m'
_symmetry_Int_Tables_number 65
_symmetry_space_group_name_Hall '-C 2 2'
_cell_length_a 6.119
_cell_length_b 13.056
_cell_length_c 5.981
_cell_angle_alpha 90.00
_cell_angle_beta 90.00
_cell_angle_gamma 90.00
loop_
_atom_site_label
_atom_site_fract_x
_atom_site_fract_y
_atom_site_fract_z
Pm1 0.000 0.139 0.000
Pm2 0.000 0.309 0.500
Dy1 0.000 0.390 0.000
Ho1 0.000 0.000 0.500
# - Crystal system: orthorhombic
# - Distance to the lowest polymorph of the same formula: 418 meV/atom
# - E: -4.209 eV per atom


Record 3
# SmBeAg3, optimized geometry, DFT GGA-PBE
data_SmBeAg3
_chemical_formula_sum 'Sm1 Be1 Ag3'
_symmetry_space_group_name_H-M 'P m -3 m'
_symmetry_Int_Tables_number 221
_symmetry_space_group_name_Hall '-P 4 2 3'
_cell_length_a 4.615
_cell_length_b 4.615
_cell_length_c 4.615
_cell_angle_alpha 90.00
_cell_angle_beta 90.00
_cell_angle_gamma 90.00
loop_
_atom_site_label
_atom_site_fract_x
_atom_site_fract_y
_atom_site_fract_z
Sm1 0.000 0.000 0.000
Be1 0.500 0.500 0.500
Ag1 0.000 0.500 0.500
# - Crystal system: cubic
# - E: -3.413 eV per atom


Record 4
# EuDyAl, optimized geometry, DFT GGA-PBE
data_EuDyAl
_chemical_formula_sum 'Eu2 Dy2 Al2'
_symmetry_space_group_name_H-M 'I 4 m m'
_symmetry_Int_Tables_number 107
_symmetry_space_group_name_Hall 'I 4 -2'
_cell_length_a 3.259
_cell_length_b 3.259
_cell_length_c 18.233
_cell_angle_alpha 90.00
_cell_angle_beta 90.00
_cell_angle_gamma 90.00
loop_
_atom_site_label
_atom_site_fract_x
_atom_site_fract_y
_atom_site_fract_z
Eu1 0.000 0.000 0.000
Dy1 0.000 0.000 0.658
Al1 0.000 0.000 0.825
# - Crystal system: tetragonal
# - Distance to the lowest polymorph of the same formula: 579 meV/atom
# - E: -5.697 eV per atom


> Look up the E of the fourth one.

-5.697 eV per atom